# 1
Cu3Ag2: relaxed, PBE.

## Properties
Relative energy among the computed polymorphs = 0.16 eV/f.u.
ΔH_f (0 K) = 74 meV per atom

Unit cell a=17.877 b=2.832 c=5.720 alpha=90.00 beta=99.32 gamma=90.00
Space group C2/m (No. 12)
Asymmetric unit:
Cu 0.111 0.000 0.299 [4 per cell]
Cu 0.203 0.500 0.574 [4 per cell]
Cu 0.213 0.500 0.130 [4 per cell]
Ag 0.000 0.500 0.000 [2 per cell]
Ag 0.000 0.500 0.500 [2 per cell]
Ag 0.117 0.000 0.815 [4 per cell]

# 2
Cu3Ag5: relaxed, PBE.

## Properties
Relative energy among the computed polymorphs = 0.39 eV/f.u.
ΔH_f (0 K) = 86 meV per atom

Unit cell a=2.8268 b=2.8268 c=54.5642 alpha=90.00 beta=90.00 gamma=120.00
Space group R3m (No. 160, hexagonal axes)
Asymmetric unit:
Cu 0.0000 0.0000 0.0000 [3 per cell]
Cu 0.0000 0.0000 0.1175 [3 per cell]
Cu 0.0000 0.0000 0.7485 [3 per cell]
Ag 0.0000 0.0000 0.2481 [3 per cell]
Ag 0.0000 0.0000 0.3740 [3 per cell]
Ag 0.0000 0.0000 0.4915 [3 per cell]
Ag 0.0000 0.0000 0.6264 [3 per cell]
Ag 0.0000 0.0000 0.8700 [3 per cell]

# 3
Cu3Ag2: relaxed, PBE.

## Properties
Relative energy among the computed polymorphs = 0.35 eV/f.u.
ΔH_f (0 K) = 112 meV per atom

Unit cell a=11.616 b=2.790 c=9.098 alpha=90.00 beta=102.40 gamma=90.00
Space group C2/m (No. 12)
Asymmetric unit:
Cu 0.000 0.000 0.000 [2 per cell]
Cu 0.000 0.500 0.500 [2 per cell]
Cu 0.100 0.000 0.294 [4 per cell]
Cu 0.191 0.500 0.101 [4 per cell]
Ag 0.098 0.500 0.810 [4 per cell]
Ag 0.199 0.000 0.602 [4 per cell]

# 4
Cu3Ag7: relaxed, PBE.

## Properties
Relative energy among the computed polymorphs = 0.39 eV/f.u.
ΔH_f (0 K) = 68 meV per atom

Unit cell a=11.978 b=2.889 c=9.475 alpha=90.00 beta=100.16 gamma=90.00
Space group C2/m (No. 12)
Asymmetric unit:
Cu 0.000 0.000 0.000 [2 per cell]
Cu 0.099 0.000 0.301 [4 per cell]
Ag 0.000 0.500 0.500 [2 per cell]
Ag 0.090 0.500 0.805 [4 per cell]
Ag 0.191 0.500 0.102 [4 per cell]
Ag 0.206 0.000 0.606 [4 per cell]

# 5
Cu4Ag5: relaxed, PBE.

## Properties
Relative energy among the computed polymorphs = 0.54 eV/f.u.
ΔH_f (0 K) = 98 meV per atom

Unit cell a=14.132 b=2.862 c=7.992 alpha=90.00 beta=121.58 gamma=90.00
Space group C2/m (No. 12)
Asymmetric unit:
Cu 0.055 0.000 0.333 [4 per cell]
Cu 0.172 0.000 0.999 [4 per cell]
Ag 0.000 0.500 0.000 [2 per cell]
Ag 0.107 0.500 0.671 [4 per cell]
Ag 0.218 0.500 0.325 [4 per cell]

# 6
Cu3Ag7: relaxed, PBE.

## Properties
Relative energy among the computed polymorphs = 0.19 eV/f.u.
ΔH_f (0 K) = 47 meV per atom

Unit cell a=2.855 b=2.855 c=19.653 alpha=90.00 beta=90.00 gamma=90.00
Space group P4mm (No. 99)
Asymmetric unit:
Cu 0.000 0.000 0.000 [1 per cell]
Cu 0.000 0.000 0.408 [1 per cell]
Cu 0.500 0.500 0.484 [1 per cell]
Ag 0.000 0.000 0.204 [1 per cell]
Ag 0.000 0.000 0.578 [1 per cell]
Ag 0.000 0.000 0.797 [1 per cell]
Ag 0.500 0.500 0.093 [1 per cell]
Ag 0.500 0.500 0.314 [1 per cell]
Ag 0.500 0.500 0.688 [1 per cell]
Ag 0.500 0.500 0.907 [1 per cell]

# 7
Cu3Ag2: relaxed, PBE.

## Properties
Relative energy among the computed polymorphs = 0.29 eV/f.u.
ΔH_f (0 K) = 101 meV per atom

Unit cell a=13.889 b=3.862 c=5.449 alpha=90.00 beta=102.51 gamma=90.00
Space group C2/m (No. 12)
Asymmetric unit:
Cu 0.000 0.000 0.000 [2 per cell]
Cu 0.000 0.000 0.500 [2 per cell]
Cu 0.098 0.500 0.295 [4 per cell]
Cu 0.197 0.000 0.099 [4 per cell]
Ag 0.096 0.500 0.806 [4 per cell]
Ag 0.199 0.000 0.602 [4 per cell]

# 8
Cu3Ag7: relaxed, PBE.

## Properties
Relative energy among the computed polymorphs = 0.49 eV/f.u.
ΔH_f (0 K) = 77 meV per atom

Unit cell a=6.928 b=2.876 c=8.448 alpha=90.00 beta=104.59 gamma=90.00
Space group P2/m (No. 10)
Asymmetric unit:
Cu 0.000 0.000 0.000 [1 per cell]
Cu 0.095 0.500 0.289 [2 per cell]
Ag 0.191 0.000 0.595 [2 per cell]
Ag 0.287 0.500 0.898 [2 per cell]
Ag 0.385 0.000 0.199 [2 per cell]
Ag 0.500 0.500 0.500 [1 per cell]

Q: Which of these has the highest ΔH_f (0 K)?
A: number 3

Q: The lowest relative energy among the computed polymorphs belongs to which entry?
A: number 1